Record 1
VASP calculation (GGA-PBE) on crystalline MnNiOs2 at its relaxed geometry.

a = 2.6386 Å, b = 3.6636 Å, c = 5.2464 Å
α = 90.00°, β = 90.00°, γ = 90.00°
Element x y z (fractional)
Mn 0.0000 0.0000 0.0000
Ni 0.0000 0.0000 0.5000
Os 0.5000 0.5000 0.2466
Os 0.5000 0.5000 0.7534

Output
* energy of formation: 0.121 eV per atom
* relative energy among the computed polymorphs: 66 meV per atom
* volume: 50.7 Å³/cell
* final energy: -9.231 eV per atom
* total moment: 0.0 μB per formula unit

Record 2
VASP calculation (GGA-PBE) on crystalline MnNi2Os at its relaxed geometry.

a = 4.5043 Å, b = 4.5043 Å, c = 4.5043 Å
α = 132.90°, β = 132.90°, γ = 68.81°
Element x y z (fractional)
Mn 0.0000 0.0000 0.0000
Ni 0.2500 0.7500 0.5000
Ni 0.7500 0.2500 0.5000
Os 0.5000 0.5000 0.0000

Output
* energy of formation: 0.053 eV per atom
* relative energy among the computed polymorphs: 27 meV per atom
* volume: 48.1 Å³/cell
* final energy: -7.937 eV per atom
* total moment: 2.0 μB per formula unit

Record 3
VASP calculation (GGA-PBE) on crystalline MnNiOs3 at its relaxed geometry.

a = 4.3821 Å, b = 4.3821 Å, c = 4.3821 Å
α = 90.00°, β = 90.00°, γ = 90.00°
Element x y z (fractional)
Mn 0.0000 0.0000 0.0000
Ni 0.5000 0.5000 0.5000
Os 0.0000 0.0000 0.5000
Os 0.0000 0.5000 0.0000
Os 0.5000 0.0000 0.0000

Output
* energy of formation: 1.865 eV per atom
* relative energy among the computed polymorphs: 0 meV per atom
* volume: 84.1 Å³/cell
* final energy: -7.863 eV per atom
* total moment: 1.6 μB per formula unit

Record 4
VASP calculation (GGA-PBE) on crystalline MnNi2Os at its relaxed geometry.

a = 4.5074 Å, b = 4.5074 Å, c = 2.5869 Å
α = 90.00°, β = 90.00°, γ = 110.58°
Element x y z (fractional)
Mn 0.0000 0.0000 0.0000
Ni 0.0000 0.5000 0.5000
Ni 0.5000 0.0000 0.5000
Os 0.5000 0.5000 0.0000

Output
* energy of formation: 0.062 eV per atom
* relative energy among the computed polymorphs: 36 meV per atom
* volume: 49.2 Å³/cell
* final energy: -7.928 eV per atom
* total moment: 3.9 μB per formula unit

Record 5
VASP calculation (GGA-PBE) on crystalline MnNi2Os at its relaxed geometry.

a = 2.5873 Å, b = 3.6185 Å, c = 5.1136 Å
α = 90.00°, β = 90.00°, γ = 90.00°
Element x y z (fractional)
Mn 0.0000 0.0000 0.0000
Ni 0.0000 0.0000 0.4911
Ni 0.5000 0.5000 0.2553
Os 0.5000 0.5000 0.7525

Output
* energy of formation: 0.057 eV per atom
* relative energy among the computed polymorphs: 31 meV per atom
* volume: 47.9 Å³/cell
* final energy: -7.933 eV per atom
* total moment: 1.5 μB per formula unit

Record 6
VASP calculation (GGA-PBE) on crystalline MnNi2Os at its relaxed geometry.

a = 4.0987 Å, b = 4.0987 Å, c = 4.0987 Å
α = 60.00°, β = 60.00°, γ = 60.00°
Element x y z (fractional)
Mn 0.0000 0.0000 0.0000
Ni 0.5000 0.5000 0.5000
Ni 0.7500 0.7500 0.7500
Os 0.2500 0.2500 0.2500

Output
* energy of formation: 0.156 eV per atom
* relative energy among the computed polymorphs: 130 meV per atom
* volume: 48.7 Å³/cell
* final energy: -7.834 eV per atom
* total moment: 1.2 μB per formula unit

Record 7
VASP calculation (GGA-PBE) on crystalline MnNiOs2 at its relaxed geometry.

a = 2.7856 Å, b = 4.3899 Å, c = 4.4550 Å
α = 90.00°, β = 90.00°, γ = 90.00°
Element x y z (fractional)
Mn 0.0000 0.0000 0.0000
Ni 0.5000 0.0000 0.5000
Os 0.0000 0.5000 0.5000
Os 0.5000 0.5000 0.0000

Output
* energy of formation: 0.316 eV per atom
* relative energy among the computed polymorphs: 261 meV per atom
* volume: 54.5 Å³/cell
* final energy: -9.036 eV per atom
* total moment: 3.6 μB per formula unit

Record 8
VASP calculation (GGA-PBE) on crystalline MnNiOs2 at its relaxed geometry.

a = 8.5990 Å, b = 8.5990 Å, c = 8.5990 Å
α = 17.78°, β = 17.78°, γ = 17.78°
Element x y z (fractional)
Mn 0.0000 0.0000 0.0000
Ni 0.5000 0.5000 0.5000
Os 0.2515 0.2515 0.2515
Os 0.7485 0.7485 0.7485

Output
* energy of formation: 0.119 eV per atom
* relative energy among the computed polymorphs: 63 meV per atom
* volume: 51.8 Å³/cell
* final energy: -9.234 eV per atom
* total moment: 0.6 μB per formula unit